[1]
Material: Y4CdSe3
Method: DFT, PBE-GGA
State: relaxed

Structure (POSCAR):
```
Y4CdSe3
1.0
8.498 0.000 0.000
0.000 11.775 0.000
0.000 0.000 4.053
Y Cd Se
8 2 6
direct
0.000 0.248 0.000
0.000 0.752 0.000
0.242 0.000 0.500
0.258 0.500 0.500
0.500 0.252 0.000
0.500 0.748 0.000
0.742 0.500 0.500
0.758 0.000 0.500
0.000 0.500 0.000
0.500 0.000 0.000
0.000 0.000 0.000
0.250 0.250 0.500
0.250 0.750 0.500
0.500 0.500 0.000
0.750 0.250 0.500
0.750 0.750 0.500
```

- N(E_F): 6.911 states/eV per cell



[2]
Material: Y2CdSe4
Method: DFT, PBE-GGA
State: relaxed

Structure (POSCAR):
```
Y2CdSe4
1.0
0.000 5.906 5.906
5.906 0.000 5.906
5.906 5.906 0.000
Y Cd Se
4 2 8
direct
0.000 0.000 0.000
0.000 0.000 0.500
0.000 0.500 0.000
0.500 0.000 0.000
0.375 0.375 0.375
0.625 0.625 0.625
0.229 0.757 0.757
0.243 0.243 0.243
0.243 0.243 0.771
0.243 0.771 0.243
0.757 0.229 0.757
0.757 0.757 0.229
0.757 0.757 0.757
0.771 0.243 0.243
```



Calculated total magnetization, 0.00; 0.00 μB/f.u. (same order as the records).
Calculated E_form (uncorrected), -1.364; -1.528 eV/atom (same order as the records).